An optimized crystal structure of Mn2BeZn. Source: Alexandria via LeMat-Bulk, functional GGA-PBE.

Output
Total moment (μB per formula unit): 2.21
Energy relative to the elements (meV per atom): 138
Calculated volume (Å³ per atom): 11.0
Space-group type: Cmmm, No. 65
ΔE to the lowest computed polymorph (eV/atom): 0.1651

abc: 2.4225 2.4225 7.8028
angles: 90.00 90.00 106.29
With the nearest neighbours (Å) after each atom.
Fractional positions:
Mn 0.0000 0.0000 0.2277  2 Be 2.30, 4 Mn 2.42
Mn 0.0000 0.0000 0.7723  2 Be 2.30, 4 Mn 2.42
Be 0.5000 0.5000 0.0000  4 Mn 2.30, 4 Be 2.42
Zn 0.5000 0.5000 0.5000  4 Zn 2.42, 4 Mn 2.57